#A
! Pm2YGa2 | Alexandria | GGA-PBE | relaxed; values from VASP
&SYSTEM
  ibrav = 0, nat = 10, ntyp = 3
/
ATOMIC_SPECIES
Ga 69.72 Ga.upf
Y 88.91 Y.upf
Pm 145.00 Pm.upf
CELL_PARAMETERS angstrom
3.9985 0.0000 0.0000
0.0000 5.8668 -0.9483
0.0000 -3.5387 12.6920
ATOMIC_POSITIONS crystal
Ga 0.7500 0.1344 0.3654
Ga 0.2500 0.3449 0.9839
Ga 0.7500 0.6551 0.0161
Ga 0.2500 0.8656 0.6346
Y 0.2500 0.8114 0.2068
Y 0.7500 0.1886 0.7932
Pm 0.2500 0.2991 0.5644
Pm 0.7500 0.2367 0.1320
Pm 0.2500 0.7633 0.8680
Pm 0.7500 0.7009 0.4356
! Magnetic moment = 0.00 Bohr magnetons per cell

#B
! Pm2YGa2 | Alexandria | GGA-PBE | relaxed; values from VASP
&SYSTEM
  ibrav = 0, nat = 10, ntyp = 3
/
ATOMIC_SPECIES
Y 88.91 Y.upf
Pm 145.00 Pm.upf
Ga 69.72 Ga.upf
CELL_PARAMETERS angstrom
-2.4009 3.7884 -0.1138
-1.4076 -0.6643 7.5849
6.3877 4.0946 1.5440
ATOMIC_POSITIONS crystal
Y 0.0000 0.0000 0.0000
Y 0.0000 0.5000 0.5000
Pm 0.5000 0.3259 0.1741
Pm 0.5000 0.6741 0.8259
Pm 0.5000 0.8259 0.3259
Pm 0.5000 0.1741 0.6741
Ga 0.0000 0.6194 0.1194
Ga 0.0000 0.1194 0.3806
Ga 0.0000 0.3806 0.8806
Ga 0.0000 0.8806 0.6194
! Magnetic moment = 0.00 Bohr magnetons per cell

Least stable of them? #A.

#A
! PmZn2Ga2 | Alexandria | GGA-PBE | relaxed; values from VASP
&SYSTEM
  ibrav = 0, nat = 5, ntyp = 3
/
ATOMIC_SPECIES
Zn 65.41 Zn.upf
Ga 69.72 Ga.upf
Pm 145.00 Pm.upf
CELL_PARAMETERS angstrom
3.5166 0.0000 0.0000
0.0000 3.5166 0.0000
-1.7583 -1.7583 25.5973
ATOMIC_POSITIONS crystal
Zn 0.2500 0.7500 0.5000
Zn 0.7500 0.2500 0.5000
Ga 0.4639 0.4639 0.9278
Ga 0.5361 0.5361 0.0722
Pm 0.0000 0.0000 0.0000
! Magnetic moment = 0.00 Bohr magnetons per cell

#B
! PmZn2Ga2 | Alexandria | GGA-PBE | relaxed; values from VASP
&SYSTEM
  ibrav = 0, nat = 10, ntyp = 3
/
ATOMIC_SPECIES
Ga 69.72 Ga.upf
Zn 65.41 Zn.upf
Pm 145.00 Pm.upf
CELL_PARAMETERS angstrom
4.2312 0.0000 0.0000
0.0000 4.2312 0.0000
0.0000 0.0000 10.6307
ATOMIC_POSITIONS crystal
Ga 0.0000 0.0000 0.5000
Ga 0.5000 0.0000 0.8649
Ga 0.5000 0.5000 0.5000
Ga 0.0000 0.5000 0.1351
Zn 0.5000 0.0000 0.6368
Zn 0.0000 0.5000 0.3632
Zn 0.0000 0.0000 0.0000
Zn 0.5000 0.5000 0.0000
Pm 0.0000 0.5000 0.7507
Pm 0.5000 0.0000 0.2493
! Magnetic moment = 0.00 Bohr magnetons per cell

Least stable of them? #A.

#A
! PmZn2Ga4 | Alexandria | GGA-PBE | relaxed; values from VASP
&SYSTEM
  ibrav = 0, nat = 7, ntyp = 3
/
ATOMIC_SPECIES
Ga 69.72 Ga.upf
Zn 65.41 Zn.upf
Pm 145.00 Pm.upf
CELL_PARAMETERS angstrom
-4.1467 -2.1752 1.0448
0.2248 -3.8576 4.6112
-2.5342 1.6806 5.1911
ATOMIC_POSITIONS crystal
Ga 0.3142 0.4060 0.9799
Ga 0.3142 0.9799 0.4060
Ga 0.6858 0.5940 0.0201
Ga 0.6858 0.0201 0.5940
Zn 0.7921 0.4660 0.4660
Zn 0.2079 0.5340 0.5340
Pm 0.0000 0.0000 0.0000
! Magnetic moment = 0.00 Bohr magnetons per cell

#B
! PmZn2Ga4 | Alexandria | GGA-PBE | relaxed; values from VASP
&SYSTEM
  ibrav = 0, nat = 7, ntyp = 3
/
ATOMIC_SPECIES
Zn 65.41 Zn.upf
Ga 69.72 Ga.upf
Pm 145.00 Pm.upf
CELL_PARAMETERS angstrom
4.4227 0.0000 0.0000
0.0000 4.8018 0.0000
0.0000 -2.4009 6.3299
ATOMIC_POSITIONS crystal
Zn 0.5000 0.4057 0.8114
Zn 0.5000 0.5943 0.1886
Ga 0.0000 0.3044 0.6087
Ga 0.5000 0.8212 0.6423
Ga 0.0000 0.6956 0.3913
Ga 0.5000 0.1788 0.3577
Pm 0.0000 0.0000 0.0000
! Magnetic moment = 0.00 Bohr magnetons per cell

Least stable of them? #B.

#A
! Pm2ZnGa3 | Alexandria | GGA-PBE | relaxed; values from VASP
&SYSTEM
  ibrav = 0, nat = 12, ntyp = 3
/
ATOMIC_SPECIES
Pm 145.00 Pm.upf
Ga 69.72 Ga.upf
Zn 65.41 Zn.upf
CELL_PARAMETERS angstrom
5.8375 0.5855 0.0000
0.2246 5.8625 0.0000
-3.0311 -3.2240 7.6622
ATOMIC_POSITIONS crystal
Pm 0.2500 0.7500 0.5000
Pm 0.7500 0.2500 0.5000
Pm 0.7498 0.2502 0.0000
Pm 0.2502 0.7498 0.0000
Ga 0.1672 0.1672 0.3344
Ga 0.3342 0.3342 0.1675
Ga 0.8333 0.8333 0.1675
Ga 0.8328 0.8328 0.6656
Ga 0.6658 0.6658 0.8325
Ga 0.1667 0.1667 0.8325
Zn 0.3331 0.3331 0.6662
Zn 0.6669 0.6669 0.3338
! Magnetic moment = 0.00 Bohr magnetons per cell

#B
! Pm2ZnGa3 | Alexandria | GGA-PBE | relaxed; values from VASP
&SYSTEM
  ibrav = 0, nat = 6, ntyp = 3
/
ATOMIC_SPECIES
Pm 145.00 Pm.upf
Ga 69.72 Ga.upf
Zn 65.41 Zn.upf
CELL_PARAMETERS angstrom
0.4361 2.7474 -3.0240
3.9149 -1.6490 -0.9336
-5.3528 -5.3591 -2.8493
ATOMIC_POSITIONS crystal
Pm 0.1307 0.1307 0.2615
Pm 0.8693 0.3693 0.7386
Ga 0.7056 0.7056 0.4112
Ga 0.5394 0.5394 0.0789
Ga 0.2952 0.7952 0.5903
Zn 0.4598 0.9598 0.9195
! Magnetic moment = 0.00 Bohr magnetons per cell

Least stable of them? #B.

#A
! PmZr2Ga | Alexandria | GGA-PBE | relaxed; values from VASP
&SYSTEM
  ibrav = 0, nat = 4, ntyp = 3
/
ATOMIC_SPECIES
Pm 145.00 Pm.upf
Zr 91.22 Zr.upf
Ga 69.72 Ga.upf
CELL_PARAMETERS angstrom
3.4318 0.0000 0.0000
0.0000 3.4318 0.0000
0.0000 0.0000 7.9404
ATOMIC_POSITIONS crystal
Pm 0.5000 0.5000 0.5000
Zr 0.0000 0.0000 0.7954
Zr 0.0000 0.0000 0.2046
Ga 0.5000 0.5000 0.0000
! Magnetic moment = 0.00 Bohr magnetons per cell

#B
! PmZr2Ga | Alexandria | GGA-PBE | relaxed; values from VASP
&SYSTEM
  ibrav = 0, nat = 4, ntyp = 3
/
ATOMIC_SPECIES
Pm 145.00 Pm.upf
Zr 91.22 Zr.upf
Ga 69.72 Ga.upf
CELL_PARAMETERS angstrom
-4.3028 0.8547 -0.8570
0.6615 -1.0298 -4.3483
-1.0289 -4.3127 0.8649
ATOMIC_POSITIONS crystal
Pm 0.5000 0.5000 0.5000
Zr 0.0000 0.5000 0.0000
Zr 0.0000 0.0000 0.5000
Ga 0.5000 0.0000 0.0000
! Magnetic moment = 0.00 Bohr magnetons per cell

#C
! PmZr2Ga | Alexandria | GGA-PBE | relaxed; values from VASP
&SYSTEM
  ibrav = 0, nat = 4, ntyp = 3
/
ATOMIC_SPECIES
Zr 91.22 Zr.upf
Pm 145.00 Pm.upf
Ga 69.72 Ga.upf
CELL_PARAMETERS angstrom
5.0272 0.0000 0.0000
2.5136 4.3537 0.0000
2.5136 1.4512 4.1059
ATOMIC_POSITIONS crystal
Zr 0.2499 0.2499 0.2502
Zr 0.7501 0.7501 0.7498
Pm 0.0000 0.0000 0.0000
Ga 0.5000 0.5000 0.5000
! Magnetic moment = 0.00 Bohr magnetons per cell

Least stable of them? #C.

#A
! PmZrGa4 | Alexandria | GGA-PBE | relaxed; values from VASP
&SYSTEM
  ibrav = 0, nat = 6, ntyp = 3
/
ATOMIC_SPECIES
Ga 69.72 Ga.upf
Pm 145.00 Pm.upf
Zr 91.22 Zr.upf
CELL_PARAMETERS angstrom
3.9038 0.0000 -1.2054
-0.3722 3.8860 -1.2054
0.2771 0.3049 7.8214
ATOMIC_POSITIONS crystal
Ga 0.5849 0.5849 0.1697
Ga 0.6697 0.1697 0.3393
Ga 0.8303 0.3303 0.6607
Ga 0.4151 0.4151 0.8303
Pm 0.0000 0.0000 0.0000
Zr 0.2500 0.7500 0.5000
! Magnetic moment = 0.00 Bohr magnetons per cell

#B
! PmZrGa4 | Alexandria | GGA-PBE | relaxed; values from VASP
&SYSTEM
  ibrav = 0, nat = 6, ntyp = 3
/
ATOMIC_SPECIES
Ga 69.72 Ga.upf
Zr 91.22 Zr.upf
Pm 145.00 Pm.upf
CELL_PARAMETERS angstrom
-1.5821 3.4682 -1.1773
-3.5883 0.0386 -1.7436
-6.0630 2.2174 8.0520
ATOMIC_POSITIONS crystal
Ga 0.0945 0.0944 0.7117
Ga 0.6106 0.6106 0.1671
Ga 0.3894 0.3894 0.8329
Ga 0.9055 0.9056 0.2883
Zr 0.0000 0.0000 0.0000
Pm 0.5000 0.5000 0.5000
! Magnetic moment = 0.00 Bohr magnetons per cell

#C
! PmZrGa4 | Alexandria | GGA-PBE | relaxed; values from VASP
&SYSTEM
  ibrav = 0, nat = 6, ntyp = 3
/
ATOMIC_SPECIES
Pm 145.00 Pm.upf
Ga 69.72 Ga.upf
Zr 91.22 Zr.upf
CELL_PARAMETERS angstrom
-4.3880 3.2315 0.0622
-2.6159 0.9533 4.6850
0.2742 4.9233 2.3211
ATOMIC_POSITIONS crystal
Pm 0.0000 0.0000 0.0000
Ga 0.6246 0.1261 0.6246
Ga 0.6246 0.6246 0.1261
Ga 0.6246 0.6246 0.6246
Ga 0.1261 0.6246 0.6246
Zr 0.2500 0.2500 0.2500
! Magnetic moment = 0.00 Bohr magnetons per cell

Least stable of them? #B.

#A
! Pm2Zr3Ga4 | Alexandria | GGA-PBE | relaxed; values from VASP
&SYSTEM
  ibrav = 0, nat = 18, ntyp = 3
/
ATOMIC_SPECIES
Ga 69.72 Ga.upf
Zr 91.22 Zr.upf
Pm 145.00 Pm.upf
CELL_PARAMETERS angstrom
6.3671 0.0000 0.0000
0.0000 8.2256 0.0000
-3.1836 0.0000 7.8862
ATOMIC_POSITIONS crystal
Ga 0.1823 0.9491 0.3646
Ga 0.7147 0.7500 0.9294
Ga 0.6823 0.5509 0.3646
Ga 0.3177 0.4491 0.6354
Ga 0.7853 0.2500 0.0706
Ga 0.2147 0.7500 0.9294
Ga 0.8177 0.0509 0.6354
Ga 0.2853 0.2500 0.0706
Zr 0.0403 0.7500 0.5807
Zr 0.4597 0.2500 0.4193
Zr 0.9597 0.2500 0.4193
Zr 0.0000 0.0000 0.0000
Zr 0.5000 0.5000 0.0000
Zr 0.5403 0.7500 0.5807
Pm 0.6118 0.9138 0.2237
Pm 0.1118 0.5862 0.2237
Pm 0.3882 0.0862 0.7763
Pm 0.8882 0.4138 0.7763
! Magnetic moment = 0.00 Bohr magnetons per cell

#B
! Pm2Zr3Ga4 | Alexandria | GGA-PBE | relaxed; values from VASP
&SYSTEM
  ibrav = 0, nat = 18, ntyp = 3
/
ATOMIC_SPECIES
Ga 69.72 Ga.upf
Zr 91.22 Zr.upf
Pm 145.00 Pm.upf
CELL_PARAMETERS angstrom
-5.3540 0.1317 -5.0545
-2.8961 -2.9362 6.4035
-1.9986 6.9852 2.2990
ATOMIC_POSITIONS crystal
Ga 0.3685 0.0812 0.9610
Ga 0.1315 0.9188 0.4610
Ga 0.8704 0.4963 0.1225
Ga 0.8685 0.0812 0.5390
Ga 0.6315 0.9188 0.0390
Ga 0.3704 0.4963 0.3775
Ga 0.6296 0.5037 0.6225
Ga 0.1296 0.5037 0.8775
Zr 0.7509 0.7495 0.3217
Zr 0.7491 0.2505 0.8217
Zr 0.2491 0.2505 0.6783
Zr 0.0000 0.5000 0.5000
Zr 0.2509 0.7495 0.1783
Zr 0.5000 0.5000 0.0000
Pm 0.0703 0.1914 0.1712
Pm 0.4297 0.8086 0.6712
Pm 0.9297 0.8086 0.8288
Pm 0.5703 0.1914 0.3288
! Magnetic moment = 2.46 Bohr magnetons per cell

Least stable of them? #A.

#A
! PrGa6 | Alexandria | GGA-PBE | relaxed; values from VASP
&SYSTEM
  ibrav = 0, nat = 7, ntyp = 2
/
ATOMIC_SPECIES
Ga 69.72 Ga.upf
Pr 140.91 Pr.upf
CELL_PARAMETERS angstrom
-0.5978 0.4203 5.9869
-1.6211 -5.5237 -1.7995
5.7493 1.0037 -1.5217
ATOMIC_POSITIONS crystal
Ga 0.2500 0.5000 0.7500
Ga 0.5000 0.2500 0.7500
Ga 0.2500 0.7500 0.5000
Ga 0.7500 0.2500 0.5000
Ga 0.5000 0.7500 0.2500
Ga 0.7500 0.5000 0.2500
Pr 0.0000 0.0000 0.0000
! Magnetic moment = 0.00 Bohr magnetons per cell

#B
! PrGa6 | Alexandria | GGA-PBE | relaxed; values from VASP
&SYSTEM
  ibrav = 0, nat = 14, ntyp = 2
/
ATOMIC_SPECIES
Ga 69.72 Ga.upf
Pr 140.91 Pr.upf
CELL_PARAMETERS angstrom
6.0758 0.0000 0.0000
0.0000 6.0758 0.0000
0.0000 0.0000 7.7016
ATOMIC_POSITIONS crystal
Ga 0.0000 0.0000 0.8368
Ga 0.6883 0.8117 0.6485
Ga 0.3117 0.8117 0.3515
Ga 0.1883 0.3117 0.3515
Ga 0.5000 0.5000 0.8368
Ga 0.3117 0.1883 0.6485
Ga 0.1883 0.6883 0.6485
Ga 0.0000 0.0000 0.1632
Ga 0.8117 0.6883 0.3515
Ga 0.5000 0.5000 0.1632
Ga 0.8117 0.3117 0.6485
Ga 0.6883 0.1883 0.3515
Pr 0.0000 0.5000 0.0000
Pr 0.5000 0.0000 0.0000
! Magnetic moment = 0.00 Bohr magnetons per cell

Least stable of them? #A.